An optimized crystal structure of LiErCdSe3. Source: OQMD, functional PBE.

Geometry as POSCAR:
```
LiErCdSe3
1.0
2.0314 -6.5964 0.0000
2.0314 6.5964 0.0000
0.0000 0.0000 11.0483
Li Er Cd Se
2 2 2 6
Cartesian
2.0314 3.4978 8.2862 Li
2.0314 -3.4978 2.7621 Li
0.0000 0.0000 0.0000 Er
0.0000 0.0000 5.5242 Er
2.0314 0.3039 2.7621 Cd
2.0314 -0.3039 8.2862 Cd
2.0314 5.2016 2.7621 Se
2.0314 1.8745 0.6929 Se
2.0314 1.8745 4.8312 Se
2.0314 -1.8745 6.2171 Se
2.0314 -1.8745 10.3554 Se
2.0314 -5.2016 8.2862 Se
```

Output
calculated total energy	-0.1521	hartree per atom
distance to the lowest polymorph of the same formula	46	kJ/mol of formula units
magnetic moment	0.00	μB per formula unit

An optimized crystal structure of ErLuCd. Source: OQMD, functional PBE.

Geometry as POSCAR:
```
ErLuCd
1.0
7.1504 0.0000 0.0000
0.0000 7.1504 0.0000
0.0000 0.0000 7.1504
Er Lu Cd
4 4 4
Cartesian
0.0000 0.0000 0.0000 Er
0.0000 3.5752 3.5752 Er
3.5752 0.0000 3.5752 Er
3.5752 3.5752 0.0000 Er
1.7876 1.7876 5.3628 Lu
1.7876 5.3628 1.7876 Lu
5.3628 1.7876 1.7876 Lu
5.3628 5.3628 5.3628 Lu
0.0000 0.0000 3.5752 Cd
0.0000 3.5752 0.0000 Cd
3.5752 0.0000 0.0000 Cd
3.5752 3.5752 3.5752 Cd
```

Output
calculated total energy	-0.1028	hartree per atom
distance to the lowest polymorph of the same formula	0	kJ/mol of formula units
magnetic moment	0.00	μB per formula unit
ΔE_f	0.53	eV per atom

An optimized crystal structure of Nd2ErMg3Cd3. Source: OQMD, functional PBE.

Geometry as POSCAR:
```
Nd2ErMg3Cd3
1.0
4.7994 0.0000 0.0000
0.0000 6.4240 3.7693
0.0000 -6.4240 3.7693
Nd Er Mg Cd
2 1 3 3
Cartesian
0.0000 -3.7129 3.7693 Nd
0.0000 3.7129 3.7693 Nd
0.0000 0.0000 2.7215 Er
2.3997 0.0000 0.1679 Mg
2.3997 -1.5441 5.0184 Mg
2.3997 1.5441 5.0184 Mg
0.0000 0.0000 5.8468 Cd
2.3997 -2.0824 2.1802 Cd
2.3997 2.0824 2.1802 Cd
```

Output
calculated total energy	-0.0970	hartree per atom
magnetic moment	0.00	μB per formula unit

An optimized crystal structure of Nd2ErMg3Tl2Cd. Source: OQMD, functional PBE.

Geometry as POSCAR:
```
Nd2ErMg3Tl2Cd
1.0
4.6960 0.0000 0.0000
0.0000 6.5542 3.8539
0.0000 -6.5542 3.8539
Nd Er Mg Tl Cd
2 1 3 2 1
Cartesian
0.0000 -3.7798 3.8539 Nd
0.0000 3.7798 3.8539 Nd
0.0000 0.0000 4.8981 Er
2.3480 -1.5687 2.5762 Mg
2.3480 1.5687 2.5762 Mg
2.3480 0.0000 7.5294 Mg
2.3480 -2.1294 5.4824 Tl
2.3480 2.1294 5.4824 Tl
0.0000 0.0000 1.7272 Cd
```

Output
calculated total energy	-0.1118	hartree per atom
magnetic moment	0.01	μB per formula unit

An optimized crystal structure of ErMgCdP2. Source: OQMD, functional PBE.

Geometry as POSCAR:
```
ErMgCdP2
1.0
4.2306 0.0000 0.0000
-2.1153 3.6638 0.0000
0.0000 0.0000 6.7476
Er Mg Cd P
1 1 1 2
Cartesian
0.0000 0.0000 0.0000 Er
0.0000 2.4425 2.4084 Mg
2.1153 1.2213 4.2998 Cd
0.0000 2.4425 5.1151 P
2.1153 1.2213 1.5482 P
```

Output
calculated total energy	-0.1560	hartree per atom
magnetic moment	0.01	μB per formula unit

An optimized crystal structure of PrEr2Mg3Tl2Cd. Source: OQMD, functional PBE.

Geometry as POSCAR:
```
PrEr2Mg3Tl2Cd
1.0
4.6637 0.0000 0.0000
0.0000 6.6485 3.7482
0.0000 -6.6485 3.7482
Pr Er Mg Tl Cd
1 2 3 2 1
Cartesian
0.0000 0.0000 0.0000 Pr
0.0000 -2.8313 4.7753 Er
0.0000 2.8313 4.7753 Er
2.3319 -1.5835 2.3065 Mg
2.3319 1.5835 2.3065 Mg
2.3319 0.0000 5.0033 Mg
2.3319 -4.3752 3.1785 Tl
2.3319 4.3752 3.1785 Tl
0.0000 0.0000 3.2784 Cd
```

Output
calculated total energy	-0.1104	hartree per atom
magnetic moment	0.01	μB per formula unit

An optimized crystal structure of Pr2ErMg3Tl2Cd. Source: OQMD, functional PBE.

Geometry as POSCAR:
```
Pr2ErMg3Tl2Cd
1.0
4.7164 0.0000 0.0000
0.0000 6.5744 3.8680
0.0000 -6.5744 3.8680
Pr Er Mg Tl Cd
2 1 3 2 1
Cartesian
0.0000 -3.7942 3.8680 Pr
0.0000 3.7942 3.8680 Pr
0.0000 0.0000 4.9075 Er
2.3582 -1.5676 2.5858 Mg
2.3582 1.5676 2.5858 Mg
2.3582 0.0000 7.5542 Mg
2.3582 -2.1243 5.4985 Tl
2.3582 2.1243 5.4985 Tl
0.0000 0.0000 1.7402 Cd
```

Output
calculated total energy	-0.1119	hartree per atom
magnetic moment	0.01	μB per formula unit

An optimized crystal structure of Er3Mg3Cd2Pt. Source: OQMD, functional PBE.

Geometry as POSCAR:
```
Er3Mg3Cd2Pt
1.0
7.5207 0.0000 0.0000
-3.7603 6.5131 0.0000
0.0000 0.0000 4.3483
Er Mg Cd Pt
3 3 2 1
Cartesian
-2.2822 3.9529 0.0000 Er
1.4781 2.5602 0.0000 Er
4.5644 0.0000 0.0000 Er
-0.8823 1.5283 2.1741 Mg
1.7647 0.0000 2.1741 Mg
2.8780 4.9848 2.1741 Mg
0.0000 4.3421 2.1741 Cd
3.7603 2.1710 2.1741 Cd
0.0000 0.0000 0.0000 Pt
```

Output
calculated total energy	-0.1237	hartree per atom
magnetic moment	0.13	μB per formula unit

Question: What is the formula in the sixth record?
Answer: PrEr2Mg3Tl2Cd